Record 1
4
Lattice="4.2475 0.0000 0.0000 0.0000 4.2475 0.0000 0.0000 0.0000 3.7058" Properties=species:S:1:pos:R:3 comment="MgTeIr2 (PBE, relaxed)" polymorph_energy_mev_per_atom=0 magnetic_moment_mub_per_fu=0.00 dft_energy_ev_per_atom=-5.64 formation_energy_uncorrected_ev_per_atom=-0.02 pbc="T T T"
Mg 0.0000 0.0000 0.0000
Te 2.1237 2.1237 0.0000
Ir 0.0000 2.1237 1.8529
Ir 2.1237 0.0000 1.8529



Record 2
4
Lattice="-1.9647 1.9647 4.3757 1.9647 -1.9647 4.3757 1.9647 1.9647 -4.3757" Properties=species:S:1:pos:R:3 comment="MgTeIr2 (PBE, relaxed)" polymorph_energy_mev_per_atom=118 magnetic_moment_mub_per_fu=0.00 dft_energy_ev_per_atom=-5.52 formation_energy_uncorrected_ev_per_atom=0.10 pbc="T T T"
Mg 0.0000 0.0000 0.0000
Te 1.9647 0.0000 2.1879
Ir 0.0000 0.0000 4.3757
Ir 0.0000 1.9647 2.1879



Record 3
3
Lattice="3.6653 0.0000 0.0000 -1.8326 3.1742 0.0000 0.0000 0.0000 5.9051" Properties=species:S:1:pos:R:3 comment="MgTeIr (PBE, relaxed)" polymorph_energy_mev_per_atom=366 magnetic_moment_mub_per_fu=0.00 dft_energy_ev_per_atom=-4.50 formation_energy_uncorrected_ev_per_atom=0.03 pbc="T T T"
Mg 0.0000 0.0000 0.0000
Te 1.8326 1.0581 2.6131
Ir 0.0000 2.1161 4.0938



Record 4
4
Lattice="4.6880 -1.5630 0.0000 4.6880 1.5630 0.0000 -2.5592 0.0000 6.1967" Properties=species:S:1:pos:R:3 comment="Mg2TeIr (PBE, relaxed)" magnetic_moment_mub_per_fu=0.00 dft_energy_ev_per_atom=-4.06 formation_energy_uncorrected_ev_per_atom=-0.26 pbc="T T T"
Mg 0.0000 0.0000 0.0000
Mg -0.1320 0.0000 4.3571
Te 6.9669 0.0000 1.7992
Ir 2.4256 0.0000 3.9934



Which formula does entry 3 have?
MgTeIr